(1)
# Zr4Ti2B PBE optimized geometry
# D(E_F): 16.94 states/eV/cell
# total energy: -7.7739 eV/atom
# total moment: 0.000 μB per atom
# DFT formation energy: 0.32 eV per atom
data_Zr4Ti2B
_chemical_formula_sum 'Zr8 Ti4 B2'
_cell_length_a 4.524
_cell_length_b 4.524
_cell_length_c 15.004
_cell_angle_alpha 90.00
_cell_angle_beta 90.00
_cell_angle_gamma 90.00
_symmetry_space_group_name_H-M 'I 4/m m m'
_symmetry_Int_Tables_number 139
_symmetry_space_group_name_Hall '-I 4 2'
loop_
_atom_site_label
_atom_site_type_symbol
_atom_site_fract_x
_atom_site_fract_y
_atom_site_fract_z
Zr1 Zr 0.000 0.000 0.153
Zr2 Zr 0.000 0.500 0.000
Ti1 Ti 0.000 0.000 0.356
B1 B 0.000 0.000 0.000



(2)
# CsPrCl4 PBE optimized geometry
# D(E_F): 0.00 states/eV/cell
# total energy: -4.3592 eV/atom
# total moment: 0.000 μB per atom
# distance to the lowest polymorph of the same formula: 0.00 kcal/mol of atoms
# ΔE_f (raw): -2189 meV/atom
data_CsPrCl4
_chemical_formula_sum 'Cs4 Pr4 Cl16'
_cell_length_a 7.915
_cell_length_b 4.441
_cell_length_c 20.447
_cell_angle_alpha 90.00
_cell_angle_beta 90.00
_cell_angle_gamma 90.00
_symmetry_space_group_name_H-M 'P n m a'
_symmetry_Int_Tables_number 62
loop_
_symmetry_equiv_pos_as_xyz
'x,y,z'
'-x,-y,-z'
'-x+1/2,-y,z+1/2'
'x+1/2,y,-z+1/2'
'x+1/2,-y+1/2,-z+1/2'
'-x+1/2,y+1/2,z+1/2'
'-x,y+1/2,-z'
'x,-y+1/2,z'
loop_
_atom_site_label
_atom_site_type_symbol
_atom_site_fract_x
_atom_site_fract_y
_atom_site_fract_z
Cs1 Cs 0.225 0.250 0.202
Pr1 Pr 0.249 0.250 0.945
Cl1 Cl 0.006 0.250 0.058
Cl2 Cl 0.101 0.250 0.817
Cl3 Cl 0.106 0.250 0.373
Cl4 Cl 0.139 0.250 0.536